Entry from Alexandria via LeMat-Bulk: BMo2Ru after structural relaxation (PBE-GGA).

Cell and atoms, written as POSCAR:
```
BMo2Ru
1.0
-1.5128 4.6639 5.2770
-6.2768 1.5548 -3.1735
-4.8619 1.5151 2.1835
B Ru Mo
2 2 4
Cartesian
-3.8948 3.1094 1.0517 B
-7.5167 3.0897 0.0308 B
0.0000 0.0000 0.0000 Ru
-5.1347 4.6442 4.2561 Ru
-5.4809 2.4062 -0.2432 Mo
-2.7922 3.0154 2.9125 Mo
-9.8262 6.4201 3.7998 Mo
-7.2036 3.6259 2.1048 Mo
```

Values from the calculation:
Formation enthalpy at 0 K ... 1.1 eV/f.u.
Total magnetization ... 0.000 μB/f.u.
Density of states at the Fermi level ... 5.60 states/eV per cell